No. 1
A plane-wave DFT calculation with GGA-PBE was carried out for a geometry-optimized PrLuPuIn structure.

Unit cell a=5.4769 b=5.4769 c=5.4769 alpha=60.00 beta=60.00 gamma=60.00
Each line ends with the local moment (μB).
Fractional coordinates of all 4 atoms:
1 Pu 0.0000 0.0000 0.0000  5.55
2 Pr 0.5000 0.5000 0.5000  0.14
3 Lu 0.7500 0.7500 0.7500  0.32
4 In 0.2500 0.2500 0.2500  -0.03

Energy relative to the elements = -0.03 eV/atom
Space group = F-43m, No. 216

No. 2
A plane-wave DFT calculation with GGA-PBE was carried out for a geometry-optimized NaAlZn17 structure.

Unit cell a=6.8330 b=6.8330 c=6.8330 alpha=82.52 beta=82.52 gamma=82.52
Fractional coordinates of all 19 atoms:
1 Zn 0.6504 0.6504 0.1582
2 Zn 0.8436 0.3434 0.3434
3 Zn 0.1040 0.1040 0.1040
4 Zn 0.0029 0.6799 0.3009
5 Zn 0.6799 0.0029 0.3009
6 Zn 0.3009 0.0029 0.6799
7 Zn 0.4961 0.9867 0.9867
8 Zn 0.6504 0.1582 0.6504
9 Zn 0.9867 0.4961 0.9867
10 Zn 0.9867 0.9867 0.4961
11 Zn 0.3434 0.3434 0.8436
12 Zn 0.3434 0.8436 0.3434
13 Zn 0.8983 0.8983 0.8983
14 Zn 0.0029 0.3009 0.6799
15 Zn 0.1582 0.6504 0.6504
16 Zn 0.3009 0.6799 0.0029
17 Zn 0.6799 0.3009 0.0029
18 Na 0.6603 0.6603 0.6603
19 Al 0.4110 0.4110 0.4110

Energy relative to the elements = 0.03 eV/atom
Space group = R3m, No. 160

No. 3
A plane-wave DFT calculation with GGA-PBE was carried out for a geometry-optimized SrZr2TiBr structure.

Unit cell a=5.4011 b=5.3270 c=5.4011 alpha=90.00 beta=90.00 gamma=90.00
Fractional coordinates of all 5 atoms:
1 Zr 0.0000 0.0000 0.5000
2 Zr 0.5000 0.0000 0.0000
3 Sr 0.0000 0.0000 0.0000
4 Br 0.0000 0.5000 0.0000
5 Ti 0.5000 0.5000 0.5000

ΔE_f (raw) = 1.726 eV per atom
Space group = P4/mmm, No. 123

No. 4
A plane-wave DFT calculation with GGA-PBE was carried out for a geometry-optimized Ba8AgPAu2 structure.

Unit cell a=7.9930 b=7.7167 c=9.6409 alpha=90.00 beta=90.00 gamma=90.23
Fractional coordinates of all 12 atoms:
1 Ba 0.1739 0.7714 0.7619
2 Ba 0.6870 0.7408 0.0000
3 Ba 0.8261 0.2286 0.7619
4 Ba 0.1739 0.7714 0.2381
5 Ba 0.6651 0.7273 0.5000
6 Ba 0.8261 0.2286 0.2381
7 Ba 0.3130 0.2592 0.0000
8 Ba 0.3349 0.2727 0.5000
9 P 0.0000 0.0000 0.0000
10 Au 0.5000 0.5000 0.2434
11 Au 0.5000 0.5000 0.7566
12 Ag 0.0000 0.0000 0.5000

Energy relative to the elements = -0.48 eV/atom
Space group = P2/m, No. 10

No. 5
A plane-wave DFT calculation with GGA-PBE was carried out for a geometry-optimized PaSeI structure.

Unit cell a=5.7239 b=5.7234 c=6.1492 alpha=89.98 beta=89.97 gamma=90.00
Each line ends with the local moment (μB).
Fractional coordinates of all 6 atoms:
1 Pa 0.7500 0.2500 0.0004  1.17
2 Pa 0.2500 0.7500 0.9996  1.17
3 I 0.2500 0.7500 0.4996  -0.02
4 I 0.7500 0.2500 0.5004  -0.02
5 Se 0.7500 0.7500 0.0000  -0.04
6 Se 0.2500 0.2500 0.0000  -0.04

E above lowest polymorph = 118 meV per atom
ΔE_f (raw) = -1.005 eV per atom
Space group = P4/mmm, No. 123

No. 6
A plane-wave DFT calculation with GGA-PBE was carried out for a geometry-optimized Mg6TlPt2 structure.

Unit cell a=7.9413 b=7.9413 c=7.9413 alpha=99.91 beta=114.52 gamma=114.39
Fractional coordinates of all 18 atoms:
1 Mg 0.5121 0.7006 0.8115
2 Mg 0.8891 0.7006 0.1885
3 Mg 0.7889 0.7529 0.5419
4 Mg 0.2111 0.7529 0.9640
5 Mg 0.2111 0.2471 0.4581
6 Mg 0.7889 0.2471 0.0360
7 Mg 0.4879 0.2994 0.1885
8 Mg 0.6905 0.3493 0.6588
9 Mg 0.3095 0.6507 0.3412
10 Mg 0.3095 0.9683 0.6588
11 Mg 0.6905 0.0317 0.3412
12 Mg 0.1109 0.2994 0.8115
13 Pt 0.5000 0.3619 0.8619
14 Pt 0.5000 0.6381 0.1381
15 Pt 0.6752 0.0000 0.6752
16 Pt 0.3248 0.0000 0.3248
17 Tl 0.0000 0.5000 0.5000
18 Tl 0.0000 0.0000 0.0000

Energy relative to the elements = -0.45 eV/atom
Space group = Immm, No. 71

Which formula does entry 2 have?
NaAlZn17